Here is YPCl after structural relaxation from the Alexandria database. Energies are from PBE.

For the raw formation energy, the calculation gives -0.543 eV/atom. As for the density of states at the Fermi level: 3.7 states/eV/f.u. The excess energy over the best structure of this formula in the dataset comes out at 900.9 meV/atom. The energy comes out at -5.12 eV per atom.

The structure belongs to space group F-43m (No. 216); the cell edges are 6.6993, 6.6993 and 6.6993 Å and the angles 90.00°, 90.00° and 90.00°. The inequivalent atoms are Y at (0.0000, 0.0000, 0.0000), P at (0.2500, 0.2500, 0.2500) and Cl at (0.0000, 0.0000, 0.5000).